Record 1
# TaNi3

A relaxed structure of TaNi3 (PBE, Alexandria via LeMat-Bulk).

Output
- calculated formation energy (eV per atom) = -0.1816
- total magnetization (μB per formula unit) = 0.00

Unit cell a=5.861 b=5.861 c=5.861 alpha=90.00 beta=90.00 gamma=90.00
Space group Fm-3m (No. 225)
Symmetry-distinct sites (fractional):
Ta1 0.000 0.000 0.000
Ni1 0.000 0.000 0.500
Ni2 0.250 0.250 0.250

=====

Record 2
# TaNi

A relaxed structure of TaNi (PBE, Alexandria via LeMat-Bulk).

Output
- calculated formation energy (eV per atom) = 0.1917
- total magnetization (μB per formula unit) = 0.00

Unit cell a=9.526 b=9.526 c=2.761 alpha=90.00 beta=90.00 gamma=90.00
Space group I4/m (No. 87)
Symmetry-distinct sites (fractional):
Ta1 0.123 0.348 0.000
Ni1 0.080 0.841 0.000

=====

Record 3
# Ta4Ni

A relaxed structure of Ta4Ni (PBE, Alexandria via LeMat-Bulk).

Output
- calculated formation energy (eV per atom) = 0.9510
- total magnetization (μB per formula unit) = 0.00

Unit cell a=3.687 b=3.687 c=13.960 alpha=90.00 beta=90.00 gamma=90.00
Space group I4/mmm (No. 139)
Symmetry-distinct sites (fractional):
Ta1 0.000 0.000 0.089
Ta2 0.000 0.500 0.250
Ni1 0.000 0.000 0.500

=====

Record 4
# Ta3Ni

A relaxed structure of Ta3Ni (PBE, Alexandria via LeMat-Bulk).

Output
- calculated formation energy (eV per atom) = -0.0151
- total magnetization (μB per formula unit) = 0.00

Unit cell a=5.511 b=8.933 c=5.419 alpha=90.00 beta=90.00 gamma=90.00
Space group Pnma (No. 62)
Symmetry-distinct sites (fractional):
Ta1 0.039 0.250 0.147
Ta2 0.220 0.037 0.624
Ni1 0.084 0.750 0.378

=====

Record 5
# TaNi3

A relaxed structure of TaNi3 (PBE, Alexandria via LeMat-Bulk).

Output
- calculated formation energy (eV per atom) = -0.3585
- total magnetization (μB per formula unit) = 0.00

Unit cell a=4.550 b=5.126 c=8.653 alpha=90.00 beta=100.90 gamma=90.00
Space group P2_1/m (No. 11)
Symmetry-distinct sites (fractional):
Ta1 0.112 0.250 0.378
Ta2 0.290 0.250 0.872
Ni1 0.132 0.750 0.376
Ni2 0.205 0.001 0.123
Ni3 0.299 0.750 0.873
Ni4 0.386 0.502 0.626

=====

Record 6
# TaNi2

A relaxed structure of TaNi2 (PBE, Alexandria via LeMat-Bulk).

Output
- calculated formation energy (eV per atom) = 0.1246
- total magnetization (μB per formula unit) = 0.00

Unit cell a=4.893 b=4.893 c=7.141 alpha=90.00 beta=90.00 gamma=90.00
Space group I4/mcm (No. 140)
Symmetry-distinct sites (fractional):
Ta1 0.000 0.000 0.250
Ni1 0.161 0.339 0.000

=====

Record 7
# Ta5Ni

A relaxed structure of Ta5Ni (PBE, Alexandria via LeMat-Bulk).

Output
- calculated formation energy (eV per atom) = -0.0328
- total magnetization (μB per formula unit) = 0.00

Unit cell a=10.298 b=3.338 c=6.308 alpha=90.00 beta=108.14 gamma=90.00
Space group C2/m (No. 12)
Symmetry-distinct sites (fractional):
Ta1 0.000 0.000 0.000
Ta2 0.162 0.500 0.335
Ta3 0.164 0.500 0.827
Ni1 0.000 0.000 0.500

=====

Record 8
# TaNi

A relaxed structure of TaNi (PBE, Alexandria via LeMat-Bulk).

Output
- calculated formation energy (eV per atom) = 0.1573
- total magnetization (μB per formula unit) = 0.00

Unit cell a=3.8845 b=3.8845 c=4.8299 alpha=90.00 beta=90.00 gamma=120.00
Space group P6_3/mmc (No. 194)
Symmetry-distinct sites (fractional):
Ta1 0.3333 0.6667 0.2500
Ni1 0.0000 0.0000 0.0000

=====

Record 9
# TaNi

A relaxed structure of TaNi (PBE, Alexandria via LeMat-Bulk).

Output
- calculated formation energy (eV per atom) = 0.0837
- total magnetization (μB per formula unit) = 0.00

Unit cell a=6.400 b=7.906 c=9.640 alpha=90.00 beta=90.00 gamma=90.00
Space group Fddd (No. 70, origin choice 2)
Symmetry-distinct sites (fractional):
Ta1 0.125 0.327 0.125
Ni1 0.057 0.375 0.875

=====

Record 10
# Ta3Ni

A relaxed structure of Ta3Ni (PBE, Alexandria via LeMat-Bulk).

Output
- calculated formation energy (eV per atom) = 0.1613
- total magnetization (μB per formula unit) = 0.00

Unit cell a=2.9062 b=2.9062 c=27.7431 alpha=90.00 beta=90.00 gamma=120.00
Space group R-3m (No. 166, hexagonal axes)
Symmetry-distinct sites (fractional):
Ta1 0.0000 0.0000 0.0000
Ta2 0.0000 0.0000 0.2421
Ni1 0.0000 0.0000 0.5000

=====

Record 11
# Ta3Ni

A relaxed structure of Ta3Ni (PBE, Alexandria via LeMat-Bulk).

Output
- calculated formation energy (eV per atom) = 0.0720
- total magnetization (μB per formula unit) = 0.00

Unit cell a=4.051 b=4.051 c=4.051 alpha=90.00 beta=90.00 gamma=90.00
Space group Pm-3m (No. 221)
Symmetry-distinct sites (fractional):
Ta1 0.000 0.000 0.500
Ni1 0.500 0.500 0.500

=====

Record 12
# TaNi3

A relaxed structure of TaNi3 (PBE, Alexandria via LeMat-Bulk).

Output
- calculated formation energy (eV per atom) = -0.3610
- total magnetization (μB per formula unit) = 0.00

Unit cell a=5.139 b=5.148 c=7.496 alpha=90.00 beta=90.00 gamma=90.00
Space group Fmmm (No. 69)
Symmetry-distinct sites (fractional):
Ta1 0.000 0.000 0.000
Ni1 0.000 0.000 0.500
Ni2 0.250 0.250 0.250